#one
Material: Zr2Re2O5
Method: DFT, GGA-PBE
State: relaxed

Cell lengths 6.7837, 3.8755, 3.8755 Å; angles 90.00, 90.00, 90.00 degrees
Sites, in units of the cell vectors:
1 O 0.2644 0.5000 0.0000
2 O 0.7356 0.5000 0.0000
3 O 0.2644 0.0000 0.5000
4 O 0.7356 0.0000 0.5000
5 O 0.5000 0.5000 0.5000
6 Re 0.1827 0.5000 0.5000
7 Re 0.8173 0.5000 0.5000
8 Zr 0.0000 0.0000 0.0000
9 Zr 0.5000 0.0000 0.0000

Output
The symmetry is P4/mmm (123).

---

#two
Material: Zr2Re2O5
Method: DFT, GGA-PBE
State: relaxed

Cell lengths 9.1565, 3.4428, 3.4428 Å; angles 90.00, 90.00, 90.00 degrees
Each line ends with the local moment (μB).
Sites, in units of the cell vectors:
1 O 0.1295 0.5000 0.0000  0.04
2 O 0.8705 0.5000 0.0000  0.04
3 O 0.1295 0.0000 0.5000  0.02
4 O 0.8705 0.0000 0.5000  0.02
5 O 0.5000 0.5000 0.5000  0.01
6 Re 0.0000 0.0000 0.0000  1.08
7 Re 0.5000 0.0000 0.0000  1.00
8 Zr 0.2737 0.5000 0.5000  0.10
9 Zr 0.7263 0.5000 0.5000  0.10

Output
The symmetry is P4/mmm (123).

---

Going by the energies, #two is most stable and the next is 74 meV per atom up.

---

#one
Material: Sm2Sb2O5
Method: DFT, GGA-PBE
State: relaxed

Cell lengths 7.6372, 4.1489, 4.1489 Å; angles 90.00, 90.00, 90.00 degrees
Each line ends with the local moment (μB).
Sites, in units of the cell vectors:
1 O 0.2888 0.5000 0.0000  0.01
2 O 0.7112 0.5000 0.0000  0.01
3 O 0.2888 0.0000 0.5000  0.01
4 O 0.7112 0.0000 0.5000  0.01
5 O 0.5000 0.5000 0.5000  0.00
6 Sb 0.2239 0.5000 0.5000  0.01
7 Sb 0.7761 0.5000 0.5000  0.01
8 Sm 0.0000 0.0000 0.0000  0.17
9 Sm 0.5000 0.0000 0.0000  0.00

Output
The symmetry is P4/mmm (123).

---

#two
Material: Sm2Sb2O5
Method: DFT, GGA-PBE
State: relaxed

Cell lengths 9.6829, 3.8542, 3.8542 Å; angles 90.00, 90.00, 90.00 degrees
Sites, in units of the cell vectors:
1 O 0.1345 0.5000 0.0000
2 O 0.8655 0.5000 0.0000
3 O 0.1345 0.0000 0.5000
4 O 0.8655 0.0000 0.5000
5 O 0.5000 0.5000 0.5000
6 Sb 0.0000 0.0000 0.0000
7 Sb 0.5000 0.0000 0.0000
8 Sm 0.2561 0.5000 0.5000
9 Sm 0.7439 0.5000 0.5000

Output
The symmetry is P4/mmm (123).

---

Going by the energies, #two is most stable and the next is 348 meV per atom up.

---

#one
Material: Tb2Sb2O5
Method: DFT, GGA-PBE
State: relaxed

Cell lengths 8.1125, 4.0150, 4.0150 Å; angles 90.00, 90.00, 90.00 degrees
Sites, in units of the cell vectors:
1 O 0.3074 0.5000 0.0000
2 O 0.6926 0.5000 0.0000
3 O 0.3074 0.0000 0.5000
4 O 0.6926 0.0000 0.5000
5 O 0.5000 0.5000 0.5000
6 Sb 0.2345 0.5000 0.5000
7 Sb 0.7655 0.5000 0.5000
8 Tb 0.0000 0.0000 0.0000
9 Tb 0.5000 0.0000 0.0000

Output
The symmetry is P4/mmm (123).

---

#two
Material: Tb2Sb2O5
Method: DFT, GGA-PBE
State: relaxed

Cell lengths 9.4589, 3.8285, 3.8285 Å; angles 90.00, 90.00, 90.00 degrees
Sites, in units of the cell vectors:
1 O 0.1384 0.5000 0.0000
2 O 0.8616 0.5000 0.0000
3 O 0.1384 0.0000 0.5000
4 O 0.8616 0.0000 0.5000
5 O 0.5000 0.5000 0.5000
6 Sb 0.0000 0.0000 0.0000
7 Sb 0.5000 0.0000 0.0000
8 Tb 0.2562 0.5000 0.5000
9 Tb 0.7438 0.5000 0.5000

Output
The symmetry is P4/mmm (123).

---

Going by the energies, #two is most stable and the next is 458 meV per atom up.

---

#one
Material: Sm2Sc2O5
Method: DFT, GGA-PBE
State: relaxed

Cell lengths 9.8121, 3.7708, 3.7708 Å; angles 90.00, 90.00, 90.00 degrees
Each line ends with the local moment (μB).
Sites, in units of the cell vectors:
1 O 0.1295 0.5000 0.0000  0.01
2 O 0.8705 0.5000 0.0000  0.01
3 O 0.1295 0.0000 0.5000  0.01
4 O 0.8705 0.0000 0.5000  0.01
5 O 0.5000 0.5000 0.5000  -0.01
6 Sc 0.0000 0.0000 0.0000  0.00
7 Sc 0.5000 0.0000 0.0000  0.95
8 Sm 0.2404 0.5000 0.5000  0.05
9 Sm 0.7596 0.5000 0.5000  0.05

Output
The symmetry is P4/mmm (123).

---

#two
Material: Sm2Sc2O5
Method: DFT, GGA-PBE
State: relaxed

Cell lengths 7.3912, 4.0454, 4.0454 Å; angles 90.00, 90.00, 90.00 degrees
Sites, in units of the cell vectors:
1 O 0.2364 0.5000 0.0000
2 O 0.7636 0.5000 0.0000
3 O 0.2364 0.0000 0.5000
4 O 0.7636 0.0000 0.5000
5 O 0.5000 0.5000 0.5000
6 Sc 0.2305 0.5000 0.5000
7 Sc 0.7695 0.5000 0.5000
8 Sm 0.0000 0.0000 0.0000
9 Sm 0.5000 0.0000 0.0000

Output
The symmetry is P4/mmm (123).

---

Going by the energies, #two is most stable and the next is 342 meV per atom up.